# 1
## KYOs2 (PBE)

Data for an optimized crystal structure of KYOs2.

Computed properties:
distance to the lowest polymorph of the same formula: 0 meV/atom
DOS(E_F): 3.61 states/eV/f.u.
magnetic moment: 0.211 μB per atom
E_form: 0.34 eV/atom

Cell lengths 7.3033, 4.2158, 8.7253 Å; angles 90.00, 106.11, 90.00 degrees
Last column: nearest neighbours and their distance in Å.
Space group Cm (No. 8)
One atom of each set of equivalent atoms:
K 0.0000 0.0000 0.0000  6 Os 3.54-3.63
Y 0.3256 0.5000 0.4737  6 Os 2.98-3.06
Os 0.0653 0.5000 0.6939  3 Os 2.44
Os 0.2271 0.0000 0.6792  3 Os 2.44


# 2
## KYOs2 (PBE)

Data for an optimized crystal structure of KYOs2.

Computed properties:
distance to the lowest polymorph of the same formula: 231 meV/atom
DOS(E_F): 4.37 states/eV/f.u.
magnetic moment: 0.000 μB per atom
E_form: 0.57 eV/atom

Cell lengths 3.3886, 3.3886, 9.3017 Å; angles 90.00, 90.00, 90.00 degrees
Last column: nearest neighbours and their distance in Å.
Space group P4mm (No. 99)
One atom of each set of equivalent atoms:
K 0.0000 0.0000 0.0000  4 K 3.39, 5 Os 3.57-3.60
Y 0.5000 0.5000 0.5919  5 Os 2.82-3.08
Os 0.0000 0.0000 0.3838  4 Os 2.55
Os 0.5000 0.5000 0.2891  4 Os 2.55, 1 Y 2.82


# 3
## K3YOs (PBE)

Data for an optimized crystal structure of K3YOs.

Computed properties:
distance to the lowest polymorph of the same formula: 767 meV/atom
DOS(E_F): 22.51 states/eV/f.u.
magnetic moment: 0.000 μB per atom
E_form: 2.45 eV/atom

Cell lengths 6.4933, 6.4933, 6.4933 Å; angles 90.00, 90.00, 90.00 degrees
Last column: nearest neighbours and their distance in Å.
Space group Pm-3m (No. 221)
One atom of each set of equivalent atoms:
K 0.0000 0.0000 0.5000  2 Y 3.25
Y 0.0000 0.0000 0.0000  6 K 3.25
Os 0.5000 0.5000 0.5000  12 K 4.59


# 4
## KYOs2 (PBE)

Data for an optimized crystal structure of KYOs2.

Computed properties:
distance to the lowest polymorph of the same formula: 447 meV/atom
DOS(E_F): 4.53 states/eV/f.u.
magnetic moment: 0.148 μB per atom
E_form: 0.79 eV/atom

Cell lengths 2.9978, 4.7009, 7.3736 Å; angles 90.00, 90.00, 90.00 degrees
Last column: nearest neighbours and their distance in Å.
Space group Pmmm (No. 47)
One atom of each set of equivalent atoms:
K 0.0000 0.0000 0.0000  2 K 3.00
Y 0.0000 0.0000 0.5000  2 Y 3.00, 8 Os 3.01
Os 0.5000 0.5000 0.3446  1 Os 2.29


# 5
## KYOs2 (PBE)

Data for an optimized crystal structure of KYOs2.

Computed properties:
distance to the lowest polymorph of the same formula: 520 meV/atom
DOS(E_F): 5.24 states/eV/f.u.
magnetic moment: 0.091 μB per atom
E_form: 0.86 eV/atom

Cell lengths 2.9014, 4.8718, 7.2400 Å; angles 90.00, 96.37, 90.00 degrees
Last column: nearest neighbours and their distance in Å.
Space group P2/m (No. 10)
One atom of each set of equivalent atoms:
K 0.0000 0.0000 0.0000  2 K 2.90
Y 0.5000 0.0000 0.5000  4 Os 2.79, 2 Y 2.90
Os 0.2509 0.5000 0.6485  2 Os 2.46-2.72


# 6
## KYOs3 (PBE)

Data for an optimized crystal structure of KYOs3.

Computed properties:
distance to the lowest polymorph of the same formula: 0 meV/atom
DOS(E_F): 5.20 states/eV/f.u.
magnetic moment: 1.068 μB per atom
E_form: 2.63 eV/atom

Cell lengths 5.1564, 5.1564, 5.1564 Å; angles 90.00, 90.00, 90.00 degrees
Last column: nearest neighbours and their distance in Å.
Space group Pm-3m (No. 221)
One atom of each set of equivalent atoms:
K 0.0000 0.0000 0.0000  12 Os 3.65
Y 0.5000 0.5000 0.5000  6 Os 2.58
Os 0.0000 0.5000 0.5000  2 Y 2.58


# 7
## KYOs2 (PBE)

Data for an optimized crystal structure of KYOs2.

Computed properties:
distance to the lowest polymorph of the same formula: 1074 meV/atom
DOS(E_F): 5.36 states/eV/f.u.
magnetic moment: 0.000 μB per atom
E_form: 1.42 eV/atom

Cell lengths 6.9372, 6.9372, 6.9372 Å; angles 90.00, 90.00, 90.00 degrees
Last column: nearest neighbours and their distance in Å.
Space group Fm-3m (No. 225)
One atom of each set of equivalent atoms:
K 0.0000 0.0000 0.0000  8 Os 3.00
Y 0.0000 0.0000 0.5000  8 Os 3.00
Os 0.2500 0.2500 0.2500  4 K 3.00, 4 Y 3.00


# 8
## KYOs2 (PBE)

Data for an optimized crystal structure of KYOs2.

Computed properties:
distance to the lowest polymorph of the same formula: 834 meV/atom
DOS(E_F): 3.63 states/eV/f.u.
magnetic moment: 0.006 μB per atom
E_form: 1.18 eV/atom

Cell lengths 3.1525, 4.7615, 5.0216 Å; angles 90.00, 90.00, 90.00 degrees
Last column: nearest neighbours and their distance in Å.
Space group Pmmm (No. 47)
One atom of each set of equivalent atoms:
K 0.0000 0.0000 0.0000  4 Y 2.86, 4 Os 2.96, 2 K 3.15
Y 0.5000 0.5000 0.0000  4 K 2.86, 4 Os 2.96, 2 Y 3.15
Os 0.0000 0.5000 0.5000  6 Os 2.86-3.15, 4 Y 2.96
Os 0.5000 0.0000 0.5000  6 Os 2.86-3.15, 4 K 2.96


# 9
## KYOs4 (PBE)

Data for an optimized crystal structure of KYOs4.

Computed properties:
DOS(E_F): 9.79 states/eV/f.u.
magnetic moment: 0.001 μB per atom
E_form: 0.51 eV/atom

Cell lengths 7.6277, 7.6277, 7.6277 Å; angles 90.00, 90.00, 90.00 degrees
Last column: nearest neighbours and their distance in Å.
Space group F-43m (No. 216)
One atom of each set of equivalent atoms:
K 0.0000 0.0000 0.0000  12 Os 3.16, 4 Y 3.30
Y 0.2500 0.2500 0.2500  12 Os 3.16, 4 K 3.30
Os 0.1248 0.1248 0.6248  6 Os 2.69-2.70


# 10
## K4YOs (PBE)

Data for an optimized crystal structure of K4YOs.

Computed properties:
DOS(E_F): 4.84 states/eV/f.u.
magnetic moment: 0.042 μB per atom
E_form: 1.38 eV/atom

Cell lengths 9.4799, 9.4799, 9.4799 Å; angles 90.00, 90.00, 90.00 degrees
Last column: nearest neighbours and their distance in Å.
Space group F-43m (No. 216)
One atom of each set of equivalent atoms:
K 0.1220 0.1220 0.1220  6 K 3.27-3.43
Y 0.0000 0.0000 0.5000  12 K 3.94, 4 Os 4.10
Os 0.2500 0.2500 0.7500  12 K 3.92, 4 Y 4.10


# 11
## KYOs2 (PBE)

Data for an optimized crystal structure of KYOs2.

Computed properties:
distance to the lowest polymorph of the same formula: 280 meV/atom
DOS(E_F): 2.55 states/eV/f.u.
magnetic moment: 0.000 μB per atom
E_form: 0.62 eV/atom

Cell lengths 4.0695, 4.7544, 12.4369 Å; angles 90.00, 90.00, 90.00 degrees
Last column: nearest neighbours and their distance in Å.
Space group Imm2 (No. 44)
One atom of each set of equivalent atoms:
K 0.0000 0.0000 0.0000  8 Os 3.58-3.91, 4 Y 3.79-3.85
Y 0.0000 0.5000 0.2371  6 Os 2.83-3.15
Os 0.0000 0.0000 0.3609  2 Os 2.34
Os 0.0000 0.5000 0.7686  2 Os 2.34


# 12
## KYOs (PBE)

Data for an optimized crystal structure of KYOs.

Computed properties:
distance to the lowest polymorph of the same formula: 393 meV/atom
DOS(E_F): 3.53 states/eV/f.u.
magnetic moment: 0.000 μB per atom
E_form: 0.99 eV/atom

Cell lengths 5.1026, 5.1026, 3.0652 Å; angles 90.00, 90.00, 120.00 degrees
Last column: nearest neighbours and their distance in Å.
Space group P3m1 (No. 156)
One atom of each set of equivalent atoms:
K 0.0000 0.0000 0.0000  2 K 3.07, 3 Os 3.16, 3 Y 3.19
Y 0.3333 0.6667 0.6009  3 Os 3.03, 2 Y 3.07, 3 K 3.19
Os 0.6667 0.3333 0.3690  3 Y 3.03, 2 Os 3.07, 3 K 3.16


# 13
## KYOs2 (PBE)

Data for an optimized crystal structure of KYOs2.

Computed properties:
distance to the lowest polymorph of the same formula: 545 meV/atom
DOS(E_F): 3.33 states/eV/f.u.
magnetic moment: 0.000 μB per atom
E_form: 0.89 eV/atom

Cell lengths 3.2314, 4.8044, 10.2384 Å; angles 90.00, 90.00, 90.00 degrees
Last column: nearest neighbours and their distance in Å.
Space group Cmmm (No. 65)
One atom of each set of equivalent atoms:
K 0.0000 0.0000 0.0000  6 K 2.90-3.23
Y 0.0000 0.0000 0.5000  4 Os 2.81, 4 Y 2.90
Os 0.0000 0.5000 0.2759  2 Y 2.81, 4 Os 2.90


# 14
## KYOs2 (PBE)

Data for an optimized crystal structure of KYOs2.

Computed properties:
distance to the lowest polymorph of the same formula: 766 meV/atom
DOS(E_F): 5.82 states/eV/f.u.
magnetic moment: 0.000 μB per atom
E_form: 1.11 eV/atom

Cell lengths 6.7974, 6.7974, 6.7974 Å; angles 90.00, 90.00, 90.00 degrees
Last column: nearest neighbours and their distance in Å.
Space group F-43m (No. 216)
One atom of each set of equivalent atoms:
K 0.0000 0.0000 0.0000  4 Os 2.94, 4 Y 2.94
Y 0.2500 0.2500 0.2500  4 K 2.94, 4 Os 2.94
Os 0.0000 0.0000 0.5000  4 Os 2.94, 4 Y 2.94
Os 0.2500 0.2500 0.7500  4 K 2.94, 4 Os 2.94


# 15
## KYOs2 (PBE)

Data for an optimized crystal structure of KYOs2.

Computed properties:
distance to the lowest polymorph of the same formula: 357 meV/atom
DOS(E_F): 2.84 states/eV/f.u.
magnetic moment: 0.000 μB per atom
E_form: 0.70 eV/atom

Cell lengths 10.1343, 4.1358, 7.1710 Å; angles 90.00, 117.88, 90.00 degrees
Last column: nearest neighbours and their distance in Å.
Space group C2/m (No. 12)
One atom of each set of equivalent atoms:
K 0.0000 0.0000 0.0000  6 Os 3.52-3.75
Y 0.0000 0.5000 0.5000  2 Os 2.78
Os 0.2418 0.5000 0.4174  2 Os 2.35